Compound: Ga2NiCl8
Source: Alexandria via LeMat-Bulk
Functional: PBE
Structure: optimized geometry

```
data_Ga2NiCl8
_chemical_formula_sum 'Ga4 Ni2 Cl16'
_cell_length_a 9.804
_cell_length_b 9.804
_cell_length_c 11.688
_cell_angle_alpha 55.71
_cell_angle_beta 55.71
_cell_angle_gamma 50.54
_symmetry_space_group_name_H-M 'P 1'
_symmetry_Int_Tables_number 1
_symmetry_space_group_name_Hall 'P 1'
loop_
_atom_site_label
_atom_site_type_symbol
_atom_site_fract_x
_atom_site_fract_y
_atom_site_fract_z
_atom_site_occupancy
Cl1 Cl 0.392 0.304 0.057 1
Cl2 Cl 0.304 0.392 0.557 1
Cl3 Cl 0.856 0.276 0.814 1
Cl4 Cl 0.724 0.144 0.686 1
Cl5 Cl 0.123 0.162 0.497 1
Cl6 Cl 0.162 0.123 0.997 1
Cl7 Cl 0.608 0.696 0.943 1
Cl8 Cl 0.131 0.712 0.719 1
Cl9 Cl 0.144 0.724 0.186 1
Cl10 Cl 0.877 0.838 0.503 1
Cl11 Cl 0.276 0.856 0.314 1
Cl12 Cl 0.696 0.608 0.443 1
Cl13 Cl 0.288 0.869 0.781 1
Cl14 Cl 0.712 0.131 0.219 1
Cl15 Cl 0.869 0.288 0.281 1
Cl16 Cl 0.838 0.877 0.003 1
Ni1 Ni 0.992 0.008 0.750 1
Ni2 Ni 0.008 0.992 0.250 1
Ga1 Ga 0.317 0.845 0.969 1
Ga2 Ga 0.845 0.317 0.469 1
Ga3 Ga 0.683 0.155 0.031 1
Ga4 Ga 0.155 0.683 0.531 1
```

Results
volume = 678.6 Å³/cell
symmetry = C2/c (15)
ΔE_f (raw) = -0.963 eV per atom
size of the total moment = 4.2 Bohr magnetons per cell
crystal system = monoclinic